1) Here is crystalline InSiTc at its relaxed geometry from the Alexandria database. Energies are from GGA-PBEsol.

Geometry as POSCAR:
```
InSiTc
1.0
3.0129 0.0000 0.0000
-1.5064 2.6092 0.0000
0.0000 0.0000 6.3649
In Si Tc
1 1 1
Direct
0.0000 0.0000 0.0000 In
0.3333 0.6667 0.6155 Si
0.6667 0.3333 0.3536 Tc
```

Values from the calculation:
For the volume, the calculation gives 50.0 Å³/cell. Its space group is P3m1, No. 156.

2) Here is crystalline InSiTc at its relaxed geometry from the Alexandria database. Energies are from GGA-PBEsol.

Geometry as POSCAR:
```
InSiTc
1.0
3.1124 0.0000 0.0000
0.0000 3.1124 0.0000
0.0000 0.0000 20.5308
In Si Tc
4 4 4
Direct
0.0000 0.0000 0.0698 In
0.0000 0.0000 0.9302 In
0.5000 0.5000 0.4302 In
0.5000 0.5000 0.5698 In
0.0000 0.0000 0.2160 Si
0.0000 0.0000 0.7840 Si
0.5000 0.5000 0.2840 Si
0.5000 0.5000 0.7160 Si
0.0000 0.0000 0.3381 Tc
0.0000 0.0000 0.6619 Tc
0.5000 0.5000 0.1619 Tc
0.5000 0.5000 0.8381 Tc
```

Values from the calculation:
For the volume, the calculation gives 198.9 Å³/cell. Its space group is I4/mmm, No. 139.

2) takes first place; second place is 434 meV per atom up.